The following is a DFT calculation (GGA-PBE) of HfTa3Mn after structural relaxation.

```
5
Lattice="-3.012 -3.102 1.645 1.710 0.597 4.256 -3.067 3.379 0.758" Properties=species:S:1:pos:R:3 pbc="T T T"
Ta 0.855 0.299 2.128
Ta -1.533 1.690 0.379
Ta -1.506 -1.551 0.823
Hf -2.184 0.437 3.330
Mn 0.000 0.000 0.000
```

Results
* SG: Pm-3m
* relative energy among the computed polymorphs: 0.0 meV per atom

=====

The following is a DFT calculation (GGA-PBE) of AgAsSe2 after structural relaxation.

```
4
Lattice="-2.321 2.212 -1.161 -2.217 -1.094 2.348 2.339 4.786 4.440" Properties=species:S:1:pos:R:3 pbc="T T T"
Se 1.194 2.444 2.267
Se 2.314 4.735 4.393
As -0.515 4.148 3.923
Ag -1.685 1.755 1.703
```

Results
* SG: P4/mmm
* E_form (uncorrected): 0.313 eV per atom

=====

The following is a DFT calculation (GGA-PBE) of YNi3P2 after structural relaxation.

```
18
Lattice="-2.020 0.445 -3.093 1.285 -7.624 0.301 -7.443 1.559 5.085" Properties=species:S:1:pos:R:3 pbc="T T T"
P -6.811 0.969 2.349
P -1.367 -6.588 -0.056
P -7.310 -2.856 2.124
P -4.307 -1.129 0.412
P -0.868 -2.763 0.169
P -3.871 -4.490 1.881
Ni -0.057 -4.747 -0.647
Ni -4.732 1.002 0.996
Ni -5.686 -4.248 3.101
Ni -2.807 -2.633 1.454
Ni -2.504 -0.160 1.612
Ni -5.371 -2.987 0.839
Ni -8.121 -0.872 2.939
Ni -2.492 -1.371 -0.808
Ni -5.674 -5.459 0.681
Y -5.130 -1.179 3.180
Y 0.000 0.000 0.000
Y -3.048 -4.440 -0.887
```

Results
* SG: C2/m
* relative energy among the computed polymorphs: 0.0 meV per atom

=====

The following is a DFT calculation (GGA-PBE) of Ta2CuSnH after structural relaxation.

```
5
Lattice="-0.672 -3.751 -1.378 3.022 -1.391 2.314 -2.854 -0.703 3.306" Properties=species:S:1:pos:R:3 pbc="T T T"
Ta 1.511 -0.696 1.157
Ta -0.336 -1.876 -0.689
Sn -0.252 -2.923 2.121
Cu -1.427 -0.351 1.653
H 0.000 0.000 0.000
```

Results
* SG: P4/mmm
* raw total energy: -6.958 eV/atom

=====

The following is a DFT calculation (GGA-PBE) of Ba2BiIr after structural relaxation.

```
8
Lattice="11.795 0.000 0.000 0.000 11.795 0.000 5.898 5.898 2.629" Properties=species:S:1:pos:R:3 pbc="T T T"
Ba 5.010 8.846 0.657
Ba 8.846 10.908 1.972
Ba 6.785 2.949 0.657
Ba 14.744 12.683 1.972
Bi 0.000 0.000 0.000
Bi 11.795 5.898 1.315
Ir 5.898 11.795 1.315
Ir 5.898 5.898 0.000
```

Results
* SG: I-42d
* raw total energy: -4.360 eV/atom

=====

The following is a DFT calculation (GGA-PBE) of PaMnCuSn after structural relaxation.

```
4
Lattice="-0.051 -3.253 3.407 3.178 0.176 3.472 -1.338 1.177 4.360" Properties=species:S:1:pos:R:3 pbc="T T T"
Mn 1.342 -1.425 8.429
Pa 0.000 0.000 0.000
Sn 0.895 -0.950 5.619
Cu 0.447 -0.475 2.810
```

Results
* SG: F-43m
* raw total energy: -6.670 eV/atom

=====

The following is a DFT calculation (GGA-PBE) of EuHo2Os after structural relaxation.

```
4
Lattice="-2.277 -2.503 0.497 0.927 -0.191 3.287 -6.671 6.517 2.259" Properties=species:S:1:pos:R:3 pbc="T T T"
Ho -5.534 5.407 1.874
Ho -1.137 1.111 0.385
Os -0.675 -1.347 1.892
Eu -4.011 1.912 3.021
```

Results
* SG: P4/mmm
* relative energy among the computed polymorphs: 0.0 meV per atom

=====

The following is a DFT calculation (GGA-PBE) of RbSmGeSe3 after structural relaxation.

```
12
Lattice="-1.274 -2.351 -3.148 8.287 -3.263 -0.917 -5.865 -6.556 7.270" Properties=species:S:1:pos:R:3 pbc="T T T"
Ge 3.716 -7.491 0.026
Ge -2.567 -4.680 3.180
Se 2.816 -5.574 1.668
Se 1.734 -3.780 -1.944
Se -1.668 -6.597 1.537
Se -0.585 -8.391 5.149
Se 5.123 -6.164 -1.535
Se -3.975 -6.006 4.740
Rb 0.019 -3.222 1.043
Rb 1.130 -8.949 2.162
Sm -2.938 -8.471 3.451
Sm 4.087 -3.700 -0.245
```

Results
* SG: P2_1/m
* E_form (uncorrected): -1.238 eV per atom

=====

The following is a DFT calculation (GGA-PBE) of ScCu2H after structural relaxation.

```
8
Lattice="-0.149 -5.100 1.313 3.053 0.987 4.179 -1.585 -1.434 4.818" Properties=species:S:1:pos:R:3 pbc="T T T"
Sc 0.000 0.000 0.000
Sc -0.141 -4.295 4.438
H 1.452 -2.056 2.746
H 1.460 -1.252 5.871
Cu -0.071 -2.147 2.219
Cu 0.588 -4.921 7.373
Cu 1.456 -1.655 4.309
Cu 0.664 -2.371 6.718
```

Results
* SG: Fd-3m
* relative energy among the computed polymorphs: 0.0 meV per atom

=====

The following is a DFT calculation (GGA-PBE) of NbCoRuRh after structural relaxation.

```
4
Lattice="4.356 0.000 0.000 2.178 3.772 0.000 2.178 1.257 3.557" Properties=species:S:1:pos:R:3 pbc="T T T"
Co 4.356 2.515 1.778
Rh 2.178 1.257 0.889
Ru 6.534 3.772 2.668
Nb 0.000 0.000 0.000
```

Results
* SG: F-43m
* relative energy among the computed polymorphs: 196.7 meV per atom

=====

The following is a DFT calculation (GGA-PBE) of NbZn2CdIr after structural relaxation.

```
5
Lattice="4.793 0.000 0.000 0.000 4.875 0.000 0.000 0.000 4.793" Properties=species:S:1:pos:R:3 pbc="T T T"
Cd 2.397 2.437 2.397
Nb 0.000 2.437 0.000
Zn 2.397 0.000 0.000
Zn 0.000 0.000 2.397
Ir 0.000 0.000 0.000
```

Results
* SG: P4/mmm
* raw total energy: -4.048 eV/atom

=====

The following is a DFT calculation (GGA-PBE) of Nd2NpC after structural relaxation.

```
4
Lattice="3.546 0.000 0.000 1.773 3.071 0.000 1.773 1.024 9.879" Properties=species:S:1:pos:R:3 pbc="T T T"
C 3.546 2.047 4.940
Nd 1.773 1.024 6.391
Nd 5.319 3.071 3.489
Np 0.000 0.000 0.000
```

Results
* SG: R-3m
* raw total energy: -7.494 eV/atom

=====

The following is a DFT calculation (GGA-PBE) of Er3Mg2Ir after structural relaxation.

```
12
Lattice="-2.922 2.287 3.250 -7.255 0.388 -3.052 -1.755 -6.920 3.293" Properties=species:S:1:pos:R:3 pbc="T T T"
Mg 0.000 0.000 0.000
Mg -4.283 -2.570 1.702
Mg -7.649 -1.675 1.788
Mg -0.878 -3.460 1.646
Er -2.820 -4.214 4.174
Er -5.584 -0.788 -0.722
Er -5.325 0.580 2.291
Er -6.607 -4.825 1.199
Er -6.348 -3.457 4.212
Er -1.857 -0.419 2.368
Ir -3.208 0.916 0.215
Ir -6.969 1.759 -0.017
```

Results
* SG: Cmmm
* raw total energy: -4.687 eV/atom

=====

The following is a DFT calculation (GGA-PBE) of TlAgHg2 after structural relaxation.

```
4
Lattice="-4.994 1.384 0.176 -4.341 -0.136 -2.833 -2.491 -5.150 2.061" Properties=species:S:1:pos:R:3 pbc="T T T"
Hg -9.324 1.064 -2.561
Hg -5.925 -1.767 -0.393
Ag -2.957 -0.976 -0.149
Tl -8.870 -2.927 -0.447
```

Results
* SG: C2/m
* raw total energy: -1.383 eV/atom

=====

The following is a DFT calculation (GGA-PBE) of MnPbBr after structural relaxation.

```
3
Lattice="-2.046 -4.398 -0.527 4.325 0.940 -2.053 1.644 -1.119 2.951" Properties=species:S:1:pos:R:3 pbc="T T T"
Br 0.273 -0.186 0.490
Pb 3.297 -1.585 0.422
Mn 0.353 -2.805 -0.542
```

Results
* SG: P-6m2
* E_form (uncorrected): 0.251 eV per atom
* relative energy among the computed polymorphs: 353.1 meV per atom

=====

The following is a DFT calculation (GGA-PBE) of NaNd3Sm3Se8 after structural relaxation.

```
15
Lattice="-6.182 1.913 -5.300 0.745 -7.806 2.914 -2.478 6.153 5.112" Properties=species:S:1:pos:R:3 pbc="T T T"
Sm -0.867 -0.827 4.013
Sm -4.330 4.033 -0.094
Sm -3.958 0.130 1.363
Nd 0.000 0.000 0.000
Nd -2.719 -2.947 -1.193
Nd 0.372 -3.903 1.457
Se -5.244 2.952 -2.673
Se -5.720 -1.749 2.786
Se -1.810 -1.880 1.433
Se -6.106 2.139 1.293
Se -3.039 1.156 3.963
Se -4.877 -0.897 -1.236
Se -2.196 2.009 -0.060
Se -2.672 -2.692 5.399
Na -1.239 3.077 2.556
```

Results
* SG: R-3m
* E_form (uncorrected): -1.807 eV per atom